# K2CuMo | Alexandria | GGA-PBE | optimized geometry
# excess energy over the best structure of this formula in the dataset	494	meV per atom
# ΔE_f	131.3	kJ/mol of atoms
data_K2CuMo
_chemical_formula_sum 'K2 Cu1 Mo1'
_space_group_name_H-M_alt 'P 1'
_space_group_IT_number 1
_cell_length_a 4.491
_cell_length_b 4.572
_cell_length_c 5.550
_cell_angle_alpha 90.00
_cell_angle_beta 90.00
_cell_angle_gamma 90.00
loop_
_space_group_symop_operation_xyz
'x,y,z'
loop_
_atom_site_label
_atom_site_fract_x
_atom_site_fract_y
_atom_site_fract_z
K1 0.000 0.000 0.000
K2 0.500 0.500 0.000
Cu1 0.000 0.500 0.500
Mo1 0.500 0.000 0.500

=====

# Pm3U2Os4 | Alexandria | GGA-PBE | optimized geometry
# ΔE_f	-14.6	kJ/mol of atoms
data_Pm3U2Os4
_chemical_formula_sum 'Pm3 U2 Os4'
_space_group_name_H-M_alt 'P 1'
_space_group_IT_number 1
_cell_length_a 6.003
_cell_length_b 6.003
_cell_length_c 8.902
_cell_angle_alpha 102.29
_cell_angle_beta 102.29
_cell_angle_gamma 42.24
loop_
_space_group_symop_operation_xyz
'x,y,z'
loop_
_atom_site_label
_atom_site_fract_x
_atom_site_fract_y
_atom_site_fract_z
Pm1 0.000 0.000 0.000
Pm2 0.372 0.372 0.618
Pm3 0.628 0.628 0.382
U1 0.328 0.328 0.224
U2 0.672 0.672 0.776
Os1 0.081 0.081 0.633
Os2 0.277 0.277 0.909
Os3 0.723 0.723 0.091
Os4 0.919 0.919 0.367

=====

Record order is preserved below.
Volume: 114; 210 Å³/f.u.